# Na2ZnB

Na2ZnB after structural relaxation (PBE-GGA, the Alexandria database).

Cell: 6.707 6.707 6.707 Å, 90.00 90.00 90.00°
Space group Fm-3m (No. 225)
Unique sites:
Na  0.250  0.250  0.250
Zn  0.000  0.000  0.000
B  0.000  0.000  0.500

Output
* energy relative to the elements: 0.90 eV/atom
* density of states at the Fermi level: 10.17 states/eV per cell
* crystal system: cubic
* electronic total energy: -1.747 eV per atom
* total magnetization: 0.00 μB per cell
* polymorph energy (0 for the lowest one): 471 meV per atom
* volume: 301.8 Å³/cell